YNb2Mo: relaxed, PBE.

Energy above the most stable polymorph in this dataset in meV per atom: 547
Calculated total energy in eV/atom: -8.490
Formation energy from the elements in meV per atom: 868.6
Space-group type: I-42d (122)
ρ in g/cm3: 7.28

POSCAR file:
```
YNb2Mo
1.0
4.0642 0.0000 0.0000
0.0000 4.0642 0.0000
0.0000 0.0000 20.4752
Y Nb Mo
4 8 4
direct
0.0000 0.0000 0.0000
0.0000 0.5000 0.2500
0.5000 0.0000 0.7500
0.5000 0.5000 0.5000
0.2326 0.2500 0.6250
0.2500 0.7326 0.8750
0.2500 0.7674 0.3750
0.2674 0.2500 0.1250
0.7326 0.7500 0.1250
0.7500 0.2326 0.3750
0.7500 0.2674 0.8750
0.7674 0.7500 0.6250
0.0000 0.0000 0.5000
0.0000 0.5000 0.7500
0.5000 0.0000 0.2500
0.5000 0.5000 0.0000
```

TeSeBr2: relaxed, PBE.

Energy above the most stable polymorph in this dataset in meV per atom: 251
Calculated total energy in eV/atom: -2.409
Space-group type: Cmm2 (35)
ΔE_f (raw) in meV per atom: 84
ρ in g/cm3: 4.13

POSCAR file:
```
TeSeBr2
1.0
4.1835 0.0000 0.0000
0.0000 8.6917 0.0000
0.0000 0.0000 8.0981
Te Se Br
2 2 4
direct
0.0000 0.0000 0.0000
0.5000 0.5000 0.0000
0.0000 0.5000 0.7898
0.5000 0.0000 0.7898
0.0000 0.0000 0.5540
0.0000 0.5000 0.2497
0.5000 0.0000 0.2497
0.5000 0.5000 0.5540
```

K2PuCdSe4: relaxed, PBE.

Calculated total energy in eV/atom: -5.023
Space-group type: P2/m (10)
ΔE_f (raw) in meV per atom: -1100
ρ in g/cm3: 5.29

POSCAR file:
```
K2PuCdSe4
1.0
7.3282 0.0000 0.0000
0.0000 4.2205 0.0000
-2.6416 0.0000 7.6195
K Pu Cd Se
2 1 1 4
direct
0.0000 0.0000 0.0000
0.5000 0.5000 0.0000
0.0000 0.5000 0.5000
0.5000 0.0000 0.5000
0.2189 0.0000 0.7097
0.2651 0.5000 0.3061
0.7349 0.5000 0.6939
0.7811 0.0000 0.2903
```

Sm3Dy5H12: relaxed, PBE.

Calculated total energy in eV/atom: -4.333
Space-group type: Ia-3d (230)
ρ in g/cm3: 7.36

POSCAR file:
```
Sm3Dy5H12
1.0
-6.6019 6.6019 6.6019
6.6019 -6.6019 6.6019
6.6019 6.6019 -6.6019
Sm Dy H
12 20 48
direct
0.1250 0.2500 0.3750
0.1250 0.3750 0.7500
0.2500 0.3750 0.1250
0.2500 0.8750 0.6250
0.3750 0.1250 0.2500
0.3750 0.7500 0.1250
0.6250 0.2500 0.8750
0.6250 0.8750 0.7500
0.7500 0.1250 0.3750
0.7500 0.6250 0.8750
0.8750 0.6250 0.2500
0.8750 0.7500 0.6250
0.0000 0.0000 0.0000
0.0000 0.0000 0.5000
0.0000 0.5000 0.0000
0.0000 0.5000 0.5000
0.1250 0.7500 0.8750
0.1250 0.8750 0.2500
0.2500 0.1250 0.8750
0.2500 0.6250 0.3750
0.3750 0.2500 0.6250
0.3750 0.6250 0.7500
0.5000 0.0000 0.0000
0.5000 0.0000 0.5000
0.5000 0.5000 0.0000
0.5000 0.5000 0.5000
0.6250 0.3750 0.2500
0.6250 0.7500 0.3750
0.7500 0.3750 0.6250
0.7500 0.8750 0.1250
0.8750 0.1250 0.7500
0.8750 0.2500 0.1250
0.0620 0.2216 0.1489
0.0620 0.3405 0.9132
0.0727 0.7216 0.6595
0.0727 0.8511 0.4132
0.0868 0.6489 0.4273
0.0868 0.9380 0.6595
0.1489 0.0620 0.2216
0.1489 0.5868 0.9273
0.1595 0.2216 0.5727
0.1595 0.4380 0.5868
0.2216 0.1489 0.0620
0.2216 0.5727 0.1595
0.2784 0.3405 0.9273
0.2784 0.4380 0.3511
0.3405 0.9132 0.0620
0.3405 0.9273 0.2784
0.3511 0.2784 0.4380
0.3511 0.5727 0.9132
0.4132 0.0727 0.8511
0.4132 0.8405 0.5620
0.4273 0.0868 0.6489
0.4273 0.8405 0.7784
0.4380 0.3511 0.2784
0.4380 0.5868 0.1595
0.5620 0.4132 0.8405
0.5620 0.6489 0.7216
0.5727 0.1595 0.2216
0.5727 0.9132 0.3511
0.5868 0.1595 0.4380
0.5868 0.9273 0.1489
0.6489 0.4273 0.0868
0.6489 0.7216 0.5620
0.6595 0.0727 0.7216
0.6595 0.0868 0.9380
0.7216 0.5620 0.6489
0.7216 0.6595 0.0727
0.7784 0.4273 0.8405
0.7784 0.8511 0.9380
0.8405 0.5620 0.4132
0.8405 0.7784 0.4273
0.8511 0.4132 0.0727
0.8511 0.9380 0.7784
0.9132 0.0620 0.3405
0.9132 0.3511 0.5727
0.9273 0.1489 0.5868
0.9273 0.2784 0.3405
0.9380 0.6595 0.0868
0.9380 0.7784 0.8511
```

LaCeEr2Sb4: relaxed, PBE.

Calculated total energy in eV/atom: -5.682
Space-group type: P2/m (10)
ΔE_f (raw) in meV per atom: -1123
ρ in g/cm3: 7.29

POSCAR file:
```
LaCeEr2Sb4
1.0
7.6985 0.0000 0.0000
0.0000 4.4648 0.0000
-2.5840 0.0000 7.2964
La Ce Er Sb
1 1 2 4
direct
0.0000 0.0000 0.0000
0.0000 0.5000 0.5000
0.5000 0.0000 0.5000
0.5000 0.5000 0.0000
0.2610 0.0000 0.7504
0.2630 0.5000 0.2580
0.7370 0.5000 0.7420
0.7390 0.0000 0.2496
```

LiAlTc2P: relaxed, PBE.

Calculated total energy in eV/atom: -5.874
Formation energy from the elements in meV per atom: 486.0
Space-group type: P4/mmm (123)
ρ in g/cm3: 4.88

POSCAR file:
```
LiAlTc2P
1.0
4.4292 0.0000 0.0000
0.0000 4.4292 0.0000
0.0000 0.0000 4.5223
Li Al Tc P
1 1 2 1
direct
0.0000 0.0000 0.0000
0.5000 0.5000 0.0000
0.0000 0.5000 0.5000
0.5000 0.0000 0.5000
0.5000 0.5000 0.5000
```

Ba2Co2Ag: relaxed, PBE.

Energy above the most stable polymorph in this dataset in meV per atom: 276
Calculated total energy in eV/atom: -3.568
Formation energy from the elements in meV per atom: 613.5
Space-group type: P4/mbm (127)
ρ in g/cm3: 5.05

POSCAR file:
```
Ba2Co2Ag
1.0
9.0162 0.0000 0.0000
0.0000 9.0162 0.0000
0.0000 0.0000 4.0479
Ba Co Ag
4 4 2
direct
0.1794 0.3206 0.0000
0.3206 0.8206 0.0000
0.6794 0.1794 0.0000
0.8206 0.6794 0.0000
0.0834 0.5834 0.5000
0.4166 0.0834 0.5000
0.5834 0.9166 0.5000
0.9166 0.4166 0.5000
0.0000 0.0000 0.0000
0.5000 0.5000 0.0000
```